A geometry-optimized K2Ce2HoSe6 structure. Source: Alexandria via LeMat-Bulk, functional PBE-GGA.

VASP energy: -58.45 eV/cell

Cell and atoms, written as POSCAR:
```
K2Ce2HoSe6
1.0
3.686 -6.365 0.000
3.686 6.365 0.000
-2.448 0.000 7.793
K Ce Ho Se
2 2 1 6
Direct
0.167 0.833 0.000 K
0.833 0.167 0.000 K
0.334 0.666 0.500 Ce
0.666 0.334 0.500 Ce
0.000 0.000 0.500 Ho
0.065 0.396 0.701 Se
0.260 0.260 0.299 Se
0.396 0.065 0.701 Se
0.604 0.935 0.299 Se
0.740 0.740 0.701 Se
0.935 0.604 0.299 Se
```

***

A geometry-optimized K2CeHo2Se6 structure. Source: Alexandria via LeMat-Bulk, functional PBE-GGA.

VASP energy: -57.18 eV/cell

Cell and atoms, written as POSCAR:
```
K2CeHo2Se6
1.0
3.611 -6.259 0.000
3.611 6.259 0.000
-2.417 0.000 7.850
K Ce Ho Se
2 1 2 6
Direct
0.167 0.833 0.000 K
0.833 0.167 0.000 K
0.000 0.000 0.500 Ce
0.333 0.667 0.500 Ho
0.667 0.333 0.500 Ho
0.066 0.400 0.700 Se
0.266 0.266 0.300 Se
0.400 0.066 0.700 Se
0.600 0.934 0.300 Se
0.734 0.734 0.700 Se
0.934 0.600 0.300 Se
```

***

A geometry-optimized KCeHo4Se8 structure. Source: Alexandria via LeMat-Bulk, functional PBE-GGA.

VASP energy: -77.30 eV/cell

Cell and atoms, written as POSCAR:
```
KCeHo4Se8
1.0
4.266 2.463 7.160
-4.266 2.463 7.160
0.000 -4.926 7.160
K Ce Ho Se
1 1 4 8
Direct
0.000 0.000 0.000 K
0.367 0.367 0.367 Ce
0.366 0.366 0.885 Ho
0.366 0.885 0.366 Ho
0.745 0.745 0.745 Ho
0.885 0.366 0.366 Ho
0.131 0.131 0.576 Se
0.131 0.576 0.131 Se
0.138 0.138 0.138 Se
0.140 0.619 0.619 Se
0.576 0.131 0.131 Se
0.614 0.614 0.614 Se
0.619 0.140 0.619 Se
0.619 0.619 0.140 Se
```

***

A geometry-optimized K3CeHo3Te8 structure. Source: Alexandria via LeMat-Bulk, functional PBE-GGA.

VASP energy: -68.25 eV/cell

Cell and atoms, written as POSCAR:
```
K3CeHo3Te8
1.0
4.451 2.570 8.360
-4.451 2.570 8.360
0.000 -5.140 8.360
K Ce Ho Te
3 1 3 8
Direct
0.000 0.500 0.500 K
0.500 0.000 0.500 K
0.500 0.500 0.000 K
0.500 0.500 0.500 Ce
0.000 0.000 0.500 Ho
0.000 0.500 0.000 Ho
0.500 0.000 0.000 Ho
0.232 0.737 0.737 Te
0.236 0.236 0.236 Te
0.263 0.263 0.768 Te
0.263 0.768 0.263 Te
0.737 0.232 0.737 Te
0.737 0.737 0.232 Te
0.764 0.764 0.764 Te
0.768 0.263 0.263 Te
```

***

A geometry-optimized K4Ce3HoTe8 structure. Source: Alexandria via LeMat-Bulk, functional PBE-GGA.

VASP energy: -73.56 eV/cell

Cell and atoms, written as POSCAR:
```
K4Ce3HoTe8
1.0
4.617 2.666 8.223
-4.617 2.666 8.223
0.000 -5.331 8.223
K Ce Ho Te
4 3 1 8
Direct
0.000 0.000 0.000 K
0.000 0.500 0.500 K
0.500 0.000 0.500 K
0.500 0.500 0.000 K
0.000 0.000 0.500 Ce
0.000 0.500 0.000 Ce
0.500 0.000 0.000 Ce
0.500 0.500 0.500 Ho
0.238 0.238 0.238 Te
0.246 0.733 0.733 Te
0.267 0.267 0.754 Te
0.267 0.754 0.267 Te
0.733 0.246 0.733 Te
0.733 0.733 0.246 Te
0.754 0.267 0.267 Te
0.762 0.762 0.762 Te
```

***

A geometry-optimized K4CeHo3Te8 structure. Source: Alexandria via LeMat-Bulk, functional PBE-GGA.

VASP energy: -71.16 eV/cell

Cell and atoms, written as POSCAR:
```
K4CeHo3Te8
1.0
4.529 2.615 8.240
-4.529 2.615 8.240
0.000 -5.229 8.240
K Ce Ho Te
4 1 3 8
Direct
0.000 0.000 0.000 K
0.000 0.500 0.500 K
0.500 0.000 0.500 K
0.500 0.500 0.000 K
0.500 0.500 0.500 Ce
0.000 0.000 0.500 Ho
0.000 0.500 0.000 Ho
0.500 0.000 0.000 Ho
0.228 0.741 0.741 Te
0.235 0.235 0.235 Te
0.259 0.259 0.772 Te
0.259 0.772 0.259 Te
0.741 0.228 0.741 Te
0.741 0.741 0.228 Te
0.765 0.765 0.765 Te
0.772 0.259 0.259 Te
```

***

A geometry-optimized K2CeHoTe4 structure. Source: Alexandria via LeMat-Bulk, functional PBE-GGA.

VASP energy: -36.18 eV/cell

Cell and atoms, written as POSCAR:
```
K2CeHoTe4
1.0
7.924 0.000 0.000
0.000 4.572 0.000
-2.634 0.000 8.230
K Ce Ho Te
2 1 1 4
Direct
0.000 0.000 0.000 K
0.500 0.500 0.000 K
0.000 0.500 0.500 Ce
0.500 0.000 0.500 Ho
0.246 0.000 0.713 Te
0.272 0.500 0.291 Te
0.728 0.500 0.709 Te
0.754 0.000 0.287 Te
```

***

A geometry-optimized La8CeHo4 structure. Source: Alexandria via LeMat-Bulk, functional PBE-GGA.

E_form: 0.1244 eV per atom

Cell and atoms, written as POSCAR:
```
La8CeHo4
1.0
3.705 2.139 9.430
-3.705 2.139 9.430
0.000 -4.279 9.430
La Ce Ho
8 1 4
Direct
0.206 0.743 0.743 La
0.219 0.219 0.219 La
0.257 0.257 0.794 La
0.257 0.794 0.257 La
0.743 0.206 0.743 La
0.743 0.743 0.206 La
0.781 0.781 0.781 La
0.794 0.257 0.257 La
0.500 0.500 0.500 Ce
0.000 0.000 0.000 Ho
0.000 0.500 0.500 Ho
0.500 0.000 0.500 Ho
0.500 0.500 0.000 Ho
```

***

A geometry-optimized La2CeHo structure. Source: Alexandria via LeMat-Bulk, functional PBE-GGA.

Polymorph energy (0 for the lowest one): 0.52 eV per formula unit
E_form: 0.1936 eV per atom

Cell and atoms, written as POSCAR:
```
La2CeHo
1.0
0.000 4.104 4.104
4.104 0.000 4.104
4.104 4.104 0.000
La Ce Ho
2 1 1
Direct
0.250 0.250 0.250 La
0.750 0.750 0.750 La
0.000 0.000 0.000 Ce
0.500 0.500 0.500 Ho
```

***

A geometry-optimized LaCeHo4 structure. Source: Alexandria via LeMat-Bulk, functional PBE-GGA.

E_form: 0.2224 eV per atom

Cell and atoms, written as POSCAR:
```
LaCeHo4
1.0
5.722 -1.675 0.000
5.722 1.675 0.000
-5.400 0.000 10.094
La Ce Ho
1 1 4
Direct
0.000 0.000 0.000 La
0.500 0.500 0.500 Ce
0.159 0.159 0.347 Ho
0.343 0.343 0.162 Ho
0.657 0.657 0.838 Ho
0.841 0.841 0.653 Ho
```

***

Magnetic moment across the listed records, respectively: 1.02; 0.00; 1.01; 0.10; 3.01; 1.02; 1.01; 0.00; 3.17; 1.23 μB per formula unit.
Theoretical density across the listed records, respectively: 4.53; 4.78; 5.41; 5.13; 4.82; 5.14; 4.98; 7.08; 7.00; 8.06 g cm⁻³.